Density functional theory data (PBE) for a relaxed La4AlW crystal.

CIF file:
```
data_La4AlW
_chemical_formula_sum 'La16 Al4 W4'
_cell_length_a 8.8263
_cell_length_b 8.8263
_cell_length_c 8.8263
_cell_angle_alpha 90.00
_cell_angle_beta 90.00
_cell_angle_gamma 90.00
_symmetry_space_group_name_H-M 'F -4 3 m'
_symmetry_Int_Tables_number 216
_symmetry_space_group_name_Hall 'F -4 2 3'
loop_
_atom_site_label
_atom_site_type_symbol
_atom_site_fract_x
_atom_site_fract_y
_atom_site_fract_z
_atom_site_occupancy
La1 La 0.1240 0.1240 0.1240 1
Al1 Al 0.0000 0.0000 0.5000 1
W1 W 0.2500 0.2500 0.7500 1
```

Results
DFT formation energy	5.6	eV/f.u.
calculated total energy	-5.141	eV per atom
Fermi-level density of states	34.92	states/eV per cell